A plane-wave DFT calculation with PBE-GGA was carried out for Ca2LaBiPt after structural relaxation.

For the formation energy from the elements, the calculation gives -0.725 eV/atom. The density comes out at 6.1 g/cm³.

The structure belongs to space group P4/mmm (No. 123); the cell edges are 5.542, 5.542 and 5.517 Å and the angles 90.00°, 90.00° and 90.00°. The distinct sites, in fractional coordinates, are Ca at (0.000, 0.500, 0.000), La at (0.000, 0.000, 0.500), Bi at (0.500, 0.500, 0.500) and Pt at (0.000, 0.000, 0.000).